Arrangement i

Density functional theory data (GGA-PBE) for crystalline CsReP3 at its relaxed geometry. Values from VASP.

Computed properties:
N(E_F) (states/eV/cell): 4.80

Geometry as Quantum ESPRESSO input:
```
&SYSTEM
  ibrav = 0, nat = 5, ntyp = 3
/
ATOMIC_SPECIES
Cs 132.91 Cs.upf
Re 186.21 Re.upf
P 30.97 P.upf
CELL_PARAMETERS angstrom
-2.279 -3.669 -2.117
3.039 0.259 -3.720
2.952 -3.100 2.195
ATOMIC_POSITIONS angstrom
Cs 1.856 -3.255 -1.821
Re 0.000 0.000 0.000
P 1.519 0.130 -1.860
P 1.476 -1.550 1.098
P -1.139 -1.835 -1.059
```

=====

Arrangement ii

Density functional theory data (GGA-PBE) for crystalline CsReP3 at its relaxed geometry. Values from VASP.

Computed properties:
N(E_F) (states/eV/cell): 14.57

Geometry as Quantum ESPRESSO input:
```
&SYSTEM
  ibrav = 0, nat = 5, ntyp = 3
/
ATOMIC_SPECIES
Cs 132.91 Cs.upf
Re 186.21 Re.upf
P 30.97 P.upf
CELL_PARAMETERS angstrom
5.095 0.000 0.000
0.000 5.095 0.000
0.000 0.000 5.095
ATOMIC_POSITIONS angstrom
Cs 0.000 0.000 0.000
Re 2.547 2.547 2.547
P 0.000 2.547 0.000
P 0.000 0.000 2.547
P 2.547 0.000 0.000
```

=====

Looking at the structures above, which would you pick as the most stable? I would pick arrangement i.